A plane-wave DFT calculation with PBE was carried out for a relaxed LaNdNi2Bi2Sb2 crystal.

abc: 4.4957 4.4957 9.8851
angles: 90.00 90.00 90.00
Closest atoms and distances in Å follow each position.
Space group P4mm (No. 99)
Inequivalent atoms, fractional coordinates:
La: 0.0000 0.0000 0.0000 [1 per cell]  4 Ni 3.21, 5 Sb 3.34-3.58, 4 Bi 3.52
Nd: 0.5000 0.5000 0.4580 [1 per cell]  4 Ni 3.17, 5 Sb 3.32-3.51, 4 Bi 3.47
Ni: 0.0000 0.5000 0.2318 [2 per cell]  4 Sb 2.59
Bi: 0.0000 0.5000 0.7260 [2 per cell]  4 Bi 3.18, 2 Nd 3.47, 2 La 3.52
Sb: 0.0000 0.0000 0.3618 [1 per cell]  4 Ni 2.59
Sb: 0.5000 0.5000 0.1024 [1 per cell]  4 Ni 2.59

Values from the calculation:
DFT total energy: -5.347 eV/atom
Size of the total moment: 0.00 μB per formula unit
Density: 8.827 g cm⁻³